[1]
AcPm2SbO8 (PBE-GGA, relaxed); formation energy without anion corrections = -29.6 eV/f.u.; mass density = 6.8 g cm⁻³; calculated volume = 186.9 Å³ per cell; crystal system = triclinic; SG = P-1
1.0
4.565 0.000 0.000
0.494 5.574 0.000
0.403 0.701 7.345
Ac Pm Sb O
1 2 1 8
Direct
0.000 0.000 0.000
0.442 0.456 0.241
0.558 0.544 0.759
0.000 0.000 0.500
0.073 0.741 0.709
0.107 0.773 0.314
0.408 0.115 0.504
0.433 0.265 0.993
0.567 0.735 0.007
0.592 0.885 0.496
0.893 0.227 0.686
0.927 0.259 0.291

=====

[2]
AcPmSbO5 (PBE-GGA, relaxed); formation energy without anion corrections = -20.0 eV/f.u.; mass density = 6.5 g cm⁻³; calculated volume = 294.5 Å³ per cell; crystal system = monoclinic; SG = C2/c
1.0
3.973 -4.992 0.000
3.973 4.992 0.000
-3.902 0.000 7.423
Ac Pm Sb O
2 2 2 10
Direct
0.182 0.818 0.750
0.818 0.182 0.250
0.500 0.500 0.000
0.500 0.500 0.500
0.189 0.811 0.250
0.811 0.189 0.750
0.124 0.230 0.906
0.155 0.613 0.407
0.230 0.124 0.406
0.387 0.845 0.093
0.413 0.587 0.750
0.587 0.413 0.250
0.613 0.155 0.907
0.770 0.876 0.594
0.845 0.387 0.593
0.876 0.770 0.094

=====

[3]
AcPm2SeO8 (PBE-GGA, relaxed); formation energy without anion corrections = -27.7 eV/f.u.; mass density = 7.7 g cm⁻³; calculated volume = 155.3 Å³ per cell; crystal system = triclinic; SG = P-1
1.0
4.611 0.000 0.000
0.076 5.115 0.000
2.226 0.035 6.583
Ac Pm Se O
1 2 1 8
Direct
0.000 0.000 0.000
0.356 0.497 0.296
0.644 0.503 0.704
0.000 0.000 0.500
0.155 0.251 0.618
0.162 0.745 0.618
0.237 0.501 0.999
0.339 0.000 0.255
0.661 0.000 0.745
0.763 0.499 0.001
0.838 0.255 0.382
0.845 0.749 0.382

=====

[4]
Ac2PmSe2O2 (PBE-GGA, relaxed); formation energy without anion corrections = -16.8 eV/f.u.; mass density = 7.9 g cm⁻³; calculated volume = 166.8 Å³ per cell; crystal system = tetragonal; SG = I4/mmm
1.0
-2.265 2.265 8.129
2.265 -2.265 8.129
2.265 2.265 -8.129
Ac Pm Se O
2 1 2 2
Direct
0.129 0.129 0.000
0.871 0.871 0.000
0.500 0.500 0.000
0.321 0.321 0.000
0.679 0.679 0.000
0.000 0.500 0.500
0.500 0.000 0.500

=====

[5]
AcPmSe2O8 (PBE-GGA, relaxed); formation energy without anion corrections = -20.5 eV/f.u.; mass density = 4.8 g cm⁻³; calculated volume = 228.1 Å³ per cell; crystal system = trigonal; SG = P-3
1.0
5.932 0.000 0.000
-2.966 5.137 0.000
0.000 0.000 7.485
Ac Pm Se O
1 1 2 8
Direct
0.000 0.000 0.000
0.000 0.000 0.500
0.333 0.667 0.771
0.667 0.333 0.229
0.156 0.316 0.726
0.160 0.844 0.726
0.316 0.160 0.274
0.333 0.667 0.995
0.667 0.333 0.005
0.684 0.840 0.726
0.840 0.156 0.274
0.844 0.684 0.274

=====

[6]
Ac2PmSeO8 (PBE-GGA, relaxed); formation energy without anion corrections = -24.6 eV/f.u.; mass density = 7.6 g cm⁻³; calculated volume = 175.8 Å³ per cell; crystal system = trigonal; SG = P-3m1
1.0
5.572 0.000 0.000
-2.786 4.826 0.000
0.000 0.000 6.537
Ac Pm Se O
2 1 1 8
Direct
0.333 0.667 0.343
0.667 0.333 0.657
0.000 0.000 0.000
0.000 0.000 0.500
0.151 0.303 0.668
0.151 0.849 0.668
0.303 0.151 0.332
0.333 0.667 0.012
0.667 0.333 0.988
0.697 0.849 0.668
0.849 0.151 0.332
0.849 0.697 0.332